# SrMo2O6

An optimized crystal structure of SrMo2O6 (PBE+U, Alexandria via LeMat-Bulk).

Lattice parameters (Å, degrees): 5.658 7.730 7.730 76.97 77.92 77.92
Last column: magnetic moment on the atom in μB.
Fractional positions:
Sr 0.250 0.150 0.850  0.01
Sr 0.750 0.850 0.150  0.01
Mo 0.387 0.648 0.853  1.00
Mo 0.113 0.147 0.352  1.00
Mo 0.613 0.352 0.147  1.00
Mo 0.887 0.853 0.648  1.00
O 0.642 0.686 0.658  -0.01
O 0.858 0.342 0.314  -0.01
O 0.358 0.314 0.342  -0.01
O 0.142 0.658 0.686  -0.01
O 0.875 0.960 0.397  0.01
O 0.625 0.603 0.040  0.01
O 0.125 0.040 0.603  0.01
O 0.375 0.397 0.960  0.01
O 0.173 0.814 0.967  -0.02
O 0.327 0.033 0.186  -0.02
O 0.827 0.186 0.033  -0.02
O 0.673 0.967 0.814  -0.02

Calculated values
V in Å³ per cell: 317.39
DFT total energy in eV/cell: -126.66
DOS at the Fermi energy in states/eV per atom: 0.000
Spin magnetization in μB/f.u.: 2.00